# 1
TlSeO4: optimized geometry, PBE.

Values from the calculation:
- calculated total energy (eV for the cell shown) = -58.6
- total moment (Bohr magnetons per cell) = 0.0
- ΔE_f (raw) (meV per atom) = -605
- offset from the most stable computed form (meV/atom) = 0.0

Structure (POSCAR):
```
TlSeO4
1.0
-2.995 4.006 4.028
2.995 -4.006 4.028
2.995 4.006 -4.028
Tl Se O
2 2 8
direct
0.000 0.000 0.000
0.500 0.000 0.500
0.338 0.588 0.750
0.662 0.412 0.250
0.220 0.232 0.512
0.220 0.708 0.988
0.271 0.698 0.573
0.376 0.302 0.073
0.624 0.698 0.927
0.729 0.302 0.427
0.780 0.292 0.012
0.780 0.768 0.488
```

# 2
TlSeO4: optimized geometry, PBE.

Values from the calculation:
- calculated total energy (eV for the cell shown) = -57.3
- total moment (Bohr magnetons per cell) = 0.0
- ΔE_f (raw) (meV per atom) = -495
- offset from the most stable computed form (meV/atom) = 110.4

Structure (POSCAR):
```
TlSeO4
1.0
5.280 0.000 0.000
0.000 4.923 0.000
0.000 0.000 6.358
Tl Se O
2 2 8
direct
0.000 0.000 0.000
0.000 0.500 0.500
0.500 0.000 0.376
0.500 0.500 0.876
0.209 0.196 0.295
0.209 0.304 0.795
0.359 0.728 0.042
0.359 0.772 0.542
0.641 0.228 0.542
0.641 0.272 0.042
0.791 0.696 0.795
0.791 0.804 0.295
```

Question: Among the records above, which one has the lowest offset from the most stable computed form?
Answer: number 1

Question: The lowest offset from the most stable computed form belongs to which entry?
Answer: number 1

Question: Look up the calculated total energy of the second one.
Answer: -57.3 eV for the cell shown